1.
Here is MgSeNF2 after structural relaxation from Alexandria via LeMat-Bulk. Energies are from PBE.

Structure (CIF):
```
data_MgSeNF2
_chemical_formula_sum 'Mg1 Se1 N1 F2'
_symmetry_space_group_name_H-M 'P 4/m m m'
_symmetry_Int_Tables_number 123
_symmetry_space_group_name_Hall '-P 4 2'
_cell_length_a 3.5779
_cell_length_b 3.5779
_cell_length_c 5.7125
_cell_angle_alpha 90.00
_cell_angle_beta 90.00
_cell_angle_gamma 90.00
loop_
_atom_site_label
_atom_site_fract_x
_atom_site_fract_y
_atom_site_fract_z
Mg1 0.0000 0.0000 0.0000
Se1 0.5000 0.5000 0.5000
N1 0.0000 0.0000 0.5000
F1 0.0000 0.5000 0.0000
```

Properties
- Calculated density: 3.53 g/cm3
- Uncorrected formation energy: -876 meV per atom
- DOS at the Fermi energy: 2.3 states/eV per cell
- E_tot: -4.31 eV per atom

2.
Here is GaPdRuS2 after structural relaxation from Alexandria via LeMat-Bulk. Energies are from PBE.

Structure (CIF):
```
data_GaPdRuS2
_chemical_formula_sum 'Ga1 Pd1 Ru1 S2'
_symmetry_space_group_name_H-M 'P 4/m m m'
_symmetry_Int_Tables_number 123
_symmetry_space_group_name_Hall '-P 4 2'
_cell_length_a 4.5551
_cell_length_b 4.5551
_cell_length_c 4.9175
_cell_angle_alpha 90.00
_cell_angle_beta 90.00
_cell_angle_gamma 90.00
loop_
_atom_site_label
_atom_site_fract_x
_atom_site_fract_y
_atom_site_fract_z
Ga1 0.0000 0.0000 0.0000
Pd1 0.5000 0.5000 0.0000
Ru1 0.0000 0.0000 0.5000
S1 0.0000 0.5000 0.5000
```

Properties
- Calculated density: 5.56 g/cm3
- Uncorrected formation energy: 455 meV per atom
- DOS at the Fermi energy: 5.3 states/eV per cell
- E_tot: -4.70 eV per atom

3.
Here is Pm8Sm2Hg after structural relaxation from Alexandria via LeMat-Bulk. Energies are from PBE.

Structure (CIF):
```
data_Pm8Sm2Hg
_chemical_formula_sum 'Pm16 Sm4 Hg2'
_symmetry_space_group_name_H-M 'C 1 2/m 1'
_symmetry_Int_Tables_number 12
_cell_length_a 17.7532
_cell_length_b 5.5971
_cell_length_c 7.9572
_cell_angle_alpha 90.00
_cell_angle_beta 111.53
_cell_angle_gamma 90.00
loop_
_symmetry_equiv_pos_as_xyz
'x,y,z'
'-x,-y,-z'
'-x,y,-z'
'x,-y,z'
'x+1/2,y+1/2,z'
'-x+1/2,-y+1/2,-z'
'-x+1/2,y+1/2,-z'
'x+1/2,-y+1/2,z'
loop_
_atom_site_label
_atom_site_fract_x
_atom_site_fract_y
_atom_site_fract_z
Pm1 0.0142 0.0000 0.2661
Pm2 0.1041 0.5000 0.9277
Pm3 0.1638 0.5000 0.4238
Pm4 0.1807 0.0000 0.7283
Sm1 0.1877 0.0000 0.1586
Hg1 0.0000 0.5000 0.5000
```

Properties
- Calculated density: 7.50 g/cm3
- Calculated formation energy: 0.016 eV per atom
- DOS at the Fermi energy: 33.2 states/eV per cell
- E_tot: -4.32 eV per atom

4.
Here is La2AlZnN after structural relaxation from Alexandria via LeMat-Bulk. Energies are from PBE.

Structure (CIF):
```
data_La2AlZnN
_chemical_formula_sum 'La2 Al1 Zn1 N1'
_symmetry_space_group_name_H-M 'P 4/m m m'
_symmetry_Int_Tables_number 123
_symmetry_space_group_name_Hall '-P 4 2'
_cell_length_a 5.2594
_cell_length_b 5.2594
_cell_length_c 3.9264
_cell_angle_alpha 90.00
_cell_angle_beta 90.00
_cell_angle_gamma 90.00
loop_
_atom_site_label
_atom_site_fract_x
_atom_site_fract_y
_atom_site_fract_z
La1 0.0000 0.5000 0.0000
Al1 0.0000 0.0000 0.5000
Zn1 0.5000 0.5000 0.5000
N1 0.0000 0.0000 0.0000
```

Properties
- Calculated density: 5.87 g/cm3
- Uncorrected formation energy: -631 meV per atom
- DOS at the Fermi energy: 4.2 states/eV per cell
- E_tot: -5.27 eV per atom

5.
Here is CdGaW2C after structural relaxation from Alexandria via LeMat-Bulk. Energies are from PBE.

Structure (CIF):
```
data_CdGaW2C
_chemical_formula_sum 'Cd1 Ga1 W2 C1'
_symmetry_space_group_name_H-M 'P 4/m m m'
_symmetry_Int_Tables_number 123
_symmetry_space_group_name_Hall '-P 4 2'
_cell_length_a 5.1291
_cell_length_b 5.1291
_cell_length_c 4.6957
_cell_angle_alpha 90.00
_cell_angle_beta 90.00
_cell_angle_gamma 90.00
loop_
_atom_site_label
_atom_site_fract_x
_atom_site_fract_y
_atom_site_fract_z
Cd1 0.0000 0.0000 0.0000
Ga1 0.0000 0.0000 0.5000
W1 0.0000 0.5000 0.0000
C1 0.5000 0.5000 0.5000
```

Properties
- Calculated density: 7.55 g/cm3
- Calculated formation energy: 3.646 eV per atom
- DOS at the Fermi energy: 3.7 states/eV per cell
- E_tot: -4.17 eV per atom

6.
Here is Ca2Ni6BP after structural relaxation from Alexandria via LeMat-Bulk. Energies are from PBE.

Structure (CIF):
```
data_Ca2Ni6BP
_chemical_formula_sum 'Ca4 Ni12 B2 P2'
_symmetry_space_group_name_H-M 'C 1 2/m 1'
_symmetry_Int_Tables_number 12
_cell_length_a 9.5676
_cell_length_b 5.5315
_cell_length_c 6.1906
_cell_angle_alpha 90.00
_cell_angle_beta 121.00
_cell_angle_gamma 90.00
loop_
_symmetry_equiv_pos_as_xyz
'x,y,z'
'-x,-y,-z'
'-x,y,-z'
'x,-y,z'
'x+1/2,y+1/2,z'
'-x+1/2,-y+1/2,-z'
'-x+1/2,y+1/2,-z'
'x+1/2,-y+1/2,z'
loop_
_atom_site_label
_atom_site_fract_x
_atom_site_fract_y
_atom_site_fract_z
Ca1 0.2174 0.0000 0.1526
Ni1 0.0354 0.2761 0.3309
Ni2 0.2403 0.0000 0.6691
B1 0.0000 0.0000 0.5000
P1 0.0000 0.5000 0.0000
```

Properties
- Calculated density: 5.61 g/cm3
- Calculated formation energy: -0.414 eV per atom
- DOS at the Fermi energy: 14.7 states/eV per cell
- E_tot: -5.49 eV per atom

7.
Here is PuZn2GaO8 after structural relaxation from Alexandria via LeMat-Bulk. Energies are from PBE.

Structure (CIF):
```
data_PuZn2GaO8
_chemical_formula_sum 'Pu2 Zn4 Ga2 O16'
_symmetry_space_group_name_H-M 'I -4 m 2'
_symmetry_Int_Tables_number 119
_symmetry_space_group_name_Hall 'I -4 -2'
_cell_length_a 6.4222
_cell_length_b 6.4222
_cell_length_c 7.1373
_cell_angle_alpha 90.00
_cell_angle_beta 90.00
_cell_angle_gamma 90.00
loop_
_atom_site_label
_atom_site_fract_x
_atom_site_fract_y
_atom_site_fract_z
Pu1 0.0000 0.0000 0.0000
Zn1 0.0000 0.0000 0.5000
Zn2 0.0000 0.5000 0.7500
Ga1 0.0000 0.5000 0.2500
O1 0.0000 0.2018 0.2942
O2 0.0000 0.2968 0.9502
```

Properties
- Calculated density: 6.46 g/cm3
- Uncorrected formation energy: -1332 meV per atom
- DOS at the Fermi energy: 6.7 states/eV per cell
- E_tot: -6.30 eV per atom

8.
Here is Pu2CuAs4Pd3 after structural relaxation from Alexandria via LeMat-Bulk. Energies are from PBE.

Structure (CIF):
```
data_Pu2CuAs4Pd3
_chemical_formula_sum 'Pu2 Cu1 As4 Pd3'
_symmetry_space_group_name_H-M 'P -4 m 2'
_symmetry_Int_Tables_number 115
_cell_length_a 4.3767
_cell_length_b 4.3767
_cell_length_c 9.9984
_cell_angle_alpha 90.00
_cell_angle_beta 90.00
_cell_angle_gamma 90.00
loop_
_symmetry_equiv_pos_as_xyz
'x,y,z'
'y,-x,-z'
'-x,-y,z'
'-y,x,-z'
'-x,y,z'
'-y,-x,-z'
'x,-y,z'
'y,x,-z'
loop_
_atom_site_label
_atom_site_fract_x
_atom_site_fract_y
_atom_site_fract_z
Pu1 0.0000 0.5000 0.2476
Cu1 0.0000 0.0000 0.5000
As1 0.0000 0.0000 0.0000
As2 0.0000 0.5000 0.6318
As3 0.5000 0.5000 0.0000
Pd1 0.0000 0.5000 0.8761
Pd2 0.5000 0.5000 0.5000
```

Properties
- Calculated density: 10.15 g/cm3
- Calculated formation energy: -0.569 eV per atom
- DOS at the Fermi energy: 27.6 states/eV per cell
- E_tot: -7.26 eV per atom

Question: What is the DOS at the Fermi energy in the fourth record?
Answer: 4.2 states/eV per cell

Question: Number 5 is which compound?
Answer: CdGaW2C